# 1
Crystalline Ac2NdIr9 at its relaxed geometry. Source: Alexandria via LeMat-Bulk, functional PBE.

Geometry as POSCAR:
```
Ac2NdIr9
1.0
2.7208 1.5708 9.0209
-2.7208 1.5708 9.0209
0.0000 -3.1417 9.0209
Ac Nd Ir
2 1 9
Cartesian
0.0000 0.0000 3.7715 Ac
0.0000 0.0000 23.2911 Ac
0.0000 0.0000 0.0000 Nd
-1.3380 -0.7725 11.1450 Ir
0.0000 0.0000 8.9704 Ir
0.0000 -1.5450 15.9177 Ir
-1.3380 0.7725 15.9177 Ir
0.0000 0.0000 13.5313 Ir
1.3380 -0.7725 11.1450 Ir
0.0000 1.5450 11.1450 Ir
0.0000 0.0000 18.0922 Ir
1.3380 0.7725 15.9177 Ir
```

- symmetry = R-3m, No. 166
- spin magnetization (μB/atom) = 0.000
- calculated formation energy (eV per atom) = -0.44

---

# 2
Crystalline Pm8Hg4HIr3 at its relaxed geometry. Source: Alexandria via LeMat-Bulk, functional PBE.

Geometry as POSCAR:
```
Pm8Hg4HIr3
1.0
4.0485 2.3374 7.7662
-4.0485 2.3374 7.7662
0.0000 -4.6748 7.7662
Pm Hg H Ir
8 4 1 3
Cartesian
-2.0325 -1.1735 13.2253 Pm
0.0000 0.0000 5.4926 Pm
0.0000 -2.3470 10.0733 Pm
-2.0325 1.1735 10.0733 Pm
2.0325 -1.1735 13.2253 Pm
0.0000 2.3470 13.2253 Pm
0.0000 0.0000 17.8060 Pm
2.0325 1.1735 10.0733 Pm
0.0000 0.0000 0.0000 Hg
-2.0242 -1.1687 7.7662 Hg
-2.0242 1.1687 15.5324 Hg
0.0000 2.3374 7.7662 Hg
0.0000 0.0000 11.6493 H
-4.0485 0.0000 11.6493 Ir
-2.0242 1.1687 3.8831 Ir
2.0242 1.1687 3.8831 Ir
```

- symmetry = R-3m, No. 166
- spin magnetization (μB/atom) = 0.000

---

# 3
Crystalline V2CrCuH at its relaxed geometry. Source: Alexandria via LeMat-Bulk, functional PBE.

Geometry as POSCAR:
```
V2CrCuH
1.0
3.8335 0.0000 0.0000
0.0000 3.8335 0.0000
0.0000 0.0000 3.5750
V Cr Cu H
2 1 1 1
Cartesian
0.0000 1.9168 0.0000 V
1.9168 0.0000 0.0000 V
0.0000 0.0000 1.7875 Cr
1.9168 1.9168 1.7875 Cu
0.0000 0.0000 0.0000 H
```

- energy above the lowest structure with this stoichiometry (meV/atom) = 0
- symmetry = P4/mmm, No. 123
- spin magnetization (μB/atom) = 0.000

---

# 4
Crystalline K4LaPa3O12 at its relaxed geometry. Source: Alexandria via LeMat-Bulk, functional PBE.

Geometry as POSCAR:
```
K4LaPa3O12
1.0
-4.4362 4.4362 4.4362
4.4362 -4.4362 4.4362
4.4362 4.4362 -4.4362
K La Pa O
4 1 3 12
Cartesian
2.2181 2.2181 -2.2181 K
2.2181 -2.2181 2.2181 K
-2.2181 2.2181 2.2181 K
2.2181 2.2181 2.2181 K
0.0000 0.0000 0.0000 La
4.4362 0.0000 0.0000 Pa
0.0000 4.4362 0.0000 Pa
0.0000 0.0000 4.4362 Pa
2.3643 0.0000 0.0000 O
6.5082 0.0000 0.0000 O
4.4362 2.2181 0.0000 O
4.4362 0.0000 2.2181 O
0.0000 2.3643 0.0000 O
0.0000 0.0000 2.3643 O
2.2181 4.4362 0.0000 O
2.2181 0.0000 4.4362 O
0.0000 6.5082 0.0000 O
0.0000 0.0000 6.5082 O
0.0000 4.4362 2.2181 O
0.0000 2.2181 4.4362 O
```

- formation energy from raw total energies (kcal/mol of atoms) = -65.6
- symmetry = Im-3m, No. 229
- spin magnetization (μB/atom) = 0.000

---

# 5
Crystalline Tb2Sm3Y6Mg at its relaxed geometry. Source: Alexandria via LeMat-Bulk, functional PBE.

Geometry as POSCAR:
```
Tb2Sm3Y6Mg
1.0
3.0879 -5.3528 0.0000
3.0879 5.3528 0.0000
-2.0730 0.0000 11.5980
Tb Sm Y Mg
2 3 6 1
Cartesian
3.0879 3.5722 0.0000 Tb
3.0879 -3.5722 0.0000 Tb
-1.0365 0.0000 5.7990 Sm
2.0514 1.7739 5.7990 Sm
2.0514 -1.7739 5.7990 Sm
-0.0014 1.7758 8.7407 Y
1.0288 0.0000 2.8672 Y
-0.0014 -1.7758 8.7407 Y
4.1041 1.7758 2.8572 Y
3.0739 0.0000 8.7308 Y
4.1041 -1.7758 2.8572 Y
3.0879 0.0000 0.0000 Mg
```

- symmetry = C2/m, No. 12
- spin magnetization (μB/atom) = 0.000
- calculated formation energy (eV per atom) = 0.03

---

# 6
Crystalline CsSnHg2 at its relaxed geometry. Source: Alexandria via LeMat-Bulk, functional PBE.

Geometry as POSCAR:
```
CsSnHg2
1.0
2.5077 1.4478 7.2577
-2.5077 1.4478 7.2577
0.0000 -2.8956 7.2577
Cs Sn Hg
1 1 2
Cartesian
0.0000 0.0000 0.0000 Cs
0.0000 0.0000 3.9862 Sn
0.0000 0.0000 11.9008 Hg
0.0000 0.0000 17.2103 Hg
```

- symmetry = R3m, No. 160
- spin magnetization (μB/atom) = 0.000
- calculated formation energy (eV per atom) = -0.15

---

# 7
Crystalline V2CrGe3 at its relaxed geometry. Source: Alexandria via LeMat-Bulk, functional PBE.

Geometry as POSCAR:
```
V2CrGe3
1.0
2.2761 -4.8912 0.0000
2.2761 4.8912 0.0000
0.0000 0.0000 7.7729
V Cr Ge
4 2 6
Cartesian
2.2761 -4.8868 1.9432 V
2.2761 4.8868 5.8297 V
2.2761 1.6176 5.8297 V
2.2761 -1.6176 1.9432 V
2.2761 1.5917 1.9432 Cr
2.2761 -1.5917 5.8297 Cr
2.2761 3.2383 0.0246 Ge
2.2761 3.2383 3.8619 Ge
2.2761 0.0000 0.0000 Ge
2.2761 0.0000 3.8865 Ge
2.2761 -3.2383 3.9110 Ge
2.2761 -3.2383 7.7484 Ge
```

- symmetry = Cmcm, No. 63
- spin magnetization (μB/atom) = 0.237
- calculated formation energy (eV per atom) = 0.01

---

# 8
Crystalline SnHPd3 at its relaxed geometry. Source: Alexandria via LeMat-Bulk, functional PBE.

Geometry as POSCAR:
```
SnHPd3
1.0
4.8235 -5.7059 0.0000
4.8235 5.7059 0.0000
-0.3603 0.0000 5.1384
Sn H Pd
4 4 12
Cartesian
1.4057 0.9030 0.3430 Sn
1.2255 -0.9030 2.9122 Sn
8.0613 0.9030 2.2262 Sn
7.8811 -0.9030 4.7953 Sn
4.7335 1.9305 1.2846 H
4.5533 0.9120 3.8538 H
4.7335 -0.9120 1.2846 H
4.5533 -1.9305 3.8538 H
3.5300 3.7701 2.2270 Pd
3.3202 2.1409 4.6958 Pd
5.9369 3.7701 0.3422 Pd
3.4675 0.7591 2.1414 Pd
5.7864 2.1409 3.0118 Pd
3.2874 -0.7591 4.7105 Pd
5.9994 0.7591 0.4278 Pd
3.5004 -2.1409 2.1266 Pd
5.8193 -0.7591 2.9970 Pd
3.3499 -3.7701 4.7961 Pd
5.9666 -2.1409 0.4426 Pd
5.7568 -3.7701 2.9114 Pd
```

- energy above the lowest structure with this stoichiometry (meV/atom) = 108
- symmetry = C2/c, No. 15
- spin magnetization (μB/atom) = 0.000

---

| no. | mass density (Mg/m³) | VASP energy (eV/atom) |
| --- | --- | --- |
| 1 | 16.7 | -8.16 |
| 2 | 9.6 | -4.83 |
| 3 | 6.9 | -6.99 |
| 4 | 5.6 | -7.71 |
| 5 | 5.7 | -5.29 |
| 6 | 6.9 | -1.52 |
| 7 | 7.1 | -6.94 |
| 8 | 10.3 | -4.87 |